# 1
A relaxed structure of CoW2. Source: the Alexandria database, functional PBE.

Properties
spin magnetization = 0.000 μB per atom
raw total energy = -10.76 eV/atom
DOS at the Fermi energy = 1.113 states/eV/atom
E above lowest polymorph = 5.45 kcal/mol of atoms
energy of formation = 0.244 eV/atom
V = 14.4 Å³/atom
space-group type = No. 189

a = 6.8196 Å, b = 6.8196 Å, c = 3.2203 Å
α = 90.00°, β = 90.00°, γ = 120.00°
Sites, in units of the cell vectors:
W  0.2640  0.0000  0.0000
W  0.6016  0.0000  0.5000
Co  0.3333  0.6667  0.0000
Co  0.0000  0.0000  0.5000
W  0.7360  0.7360  0.0000
W  0.0000  0.6016  0.5000
W  0.0000  0.2640  0.0000
W  0.3984  0.3984  0.5000
Co  0.6667  0.3333  0.0000


# 2
A relaxed structure of MnTl2Cr. Source: the Alexandria database, functional PBE.

Properties
spin magnetization = 1.879 μB per atom
raw total energy = -5.26 eV/atom
DOS at the Fermi energy = 0.806 states/eV/atom
E above lowest polymorph = 4.87 kcal/mol of atoms
energy of formation = 0.624 eV/atom
V = 20.8 Å³/atom
space-group type = No. 8

a = 5.7957 Å, b = 5.7957 Å, c = 4.7927 Å
α = 73.06°, β = 73.06°, γ = 32.82°
Last column: magnetic moment on the atom in μB.
Sites, in units of the cell vectors:
Mn  0.2361  0.2361  0.2146  3.74
Tl  0.9912  0.9912  0.0539  -0.07
Cr  0.5131  0.5131  0.5353  3.49
Tl  0.7596  0.7596  0.6963  -0.07


# 3
A relaxed structure of PdCN2F. Source: the Alexandria database, functional PBE.

Properties
spin magnetization = 0.407 μB per atom
raw total energy = -4.21 eV/atom
DOS at the Fermi energy = 0.931 states/eV/atom
E above lowest polymorph = 12.85 kcal/mol of atoms
V = 13.1 Å³/atom
space-group type = No. 123

a = 3.9890 Å, b = 3.9890 Å, c = 4.1313 Å
α = 90.00°, β = 90.00°, γ = 90.00°
Last column: magnetic moment on the atom in μB.
Sites, in units of the cell vectors:
C  0.5000  0.5000  0.5000  -0.66
N  0.0000  0.5000  0.0000  1.00
Pd  0.0000  0.0000  0.0000  0.42
N  0.5000  0.0000  0.0000  1.00
F  0.0000  0.0000  0.5000  0.03


# 4
A relaxed structure of Tb2In2PRh4. Source: the Alexandria database, functional PBE.

Properties
spin magnetization = 0.000 μB per atom
raw total energy = -5.99 eV/atom
DOS at the Fermi energy = 0.689 states/eV/atom
energy of formation = -0.488 eV/atom
V = 19.5 Å³/atom
space-group type = No. 139

a = 6.2742 Å, b = 6.2742 Å, c = 6.2742 Å
α = 90.63°, β = 119.64°, γ = 119.64°
Sites, in units of the cell vectors:
Rh  0.5083  0.2542  0.2542
Rh  0.4917  0.7458  0.7458
Tb  0.0000  0.6987  0.6987
In  0.5000  0.2500  0.7500
P  0.0000  0.0000  0.0000
Rh  0.0000  0.2542  0.7458
In  0.5000  0.7500  0.2500
Tb  0.0000  0.3013  0.3013
Rh  0.0000  0.7458  0.2542


# 5
A relaxed structure of Mg3Ta. Source: the Alexandria database, functional PBE.

Properties
spin magnetization = 0.000 μB per atom
raw total energy = -3.99 eV/atom
DOS at the Fermi energy = 0.507 states/eV/atom
energy of formation = 0.167 eV/atom
V = 20.5 Å³/atom
space-group type = No. 123

a = 2.9377 Å, b = 2.9377 Å, c = 9.4828 Å
α = 90.00°, β = 90.00°, γ = 90.00°
Sites, in units of the cell vectors:
Mg  0.0000  0.0000  0.9847
Ta  0.5000  0.5000  0.7500
Mg  0.0000  0.0000  0.5153
Mg  0.5000  0.5000  0.2500


# 6
A relaxed structure of CuSeSN2. Source: the Alexandria database, functional PBE.

Properties
spin magnetization = 0.000 μB per atom
raw total energy = -4.12 eV/atom
DOS at the Fermi energy = 0.377 states/eV/atom
E above lowest polymorph = 5.27 kcal/mol of atoms
V = 15.9 Å³/atom
space-group type = No. 123

a = 3.5856 Å, b = 3.5856 Å, c = 6.1849 Å
α = 90.00°, β = 90.00°, γ = 90.00°
Sites, in units of the cell vectors:
S  0.0000  0.0000  0.5000
Cu  0.5000  0.5000  0.5000
N  0.5000  0.0000  0.0000
Se  0.0000  0.0000  0.0000
N  0.0000  0.5000  0.0000


# 7
A relaxed structure of Cu2HgSb. Source: the Alexandria database, functional PBE.

Properties
spin magnetization = 0.000 μB per atom
raw total energy = -2.73 eV/atom
DOS at the Fermi energy = 0.575 states/eV/atom
V = 19.1 Å³/atom
space-group type = No. 216

a = 4.7597 Å, b = 4.7597 Å, c = 4.7597 Å
α = 60.00°, β = 60.00°, γ = 60.00°
Sites, in units of the cell vectors:
Cu  0.0000  0.0000  0.0000
Cu  0.2500  0.2500  0.2500
Hg  0.5000  0.5000  0.5000
Sb  0.7500  0.7500  0.7500


# 8
A relaxed structure of Co2HgPb. Source: the Alexandria database, functional PBE.

Properties
spin magnetization = 0.706 μB per atom
raw total energy = -3.79 eV/atom
DOS at the Fermi energy = 1.507 states/eV/atom
E above lowest polymorph = 9.46 kcal/mol of atoms
energy of formation = 0.764 eV/atom
V = 18.0 Å³/atom
space-group type = No. 216

a = 4.6737 Å, b = 4.6737 Å, c = 4.6737 Å
α = 60.00°, β = 60.00°, γ = 60.00°
Last column: magnetic moment on the atom in μB.
Sites, in units of the cell vectors:
Pb  0.7500  0.7500  0.7500  -0.03
Co  0.2500  0.2500  0.2500  1.55
Hg  0.5000  0.5000  0.5000  -0.02
Co  0.0000  0.0000  0.0000  1.47


# 9
A relaxed structure of Ba3SrNi. Source: the Alexandria database, functional PBE.

Properties
spin magnetization = 0.000 μB per atom
raw total energy = -2.63 eV/atom
DOS at the Fermi energy = 1.019 states/eV/atom
E above lowest polymorph = 0.68 kcal/mol of atoms
energy of formation = 0.020 eV/atom
V = 49.9 Å³/atom
space-group type = No. 221

a = 6.2955 Å, b = 6.2955 Å, c = 6.2955 Å
α = 90.00°, β = 90.00°, γ = 90.00°
Sites, in units of the cell vectors:
Ba  0.0000  0.5000  0.0000
Sr  0.5000  0.5000  0.5000
Ba  0.5000  0.0000  0.0000
Ba  0.0000  0.0000  0.5000
Ni  0.0000  0.0000  0.0000


# 10
A relaxed structure of La2AgIr. Source: the Alexandria database, functional PBE.

Properties
spin magnetization = 0.000 μB per atom
raw total energy = -5.75 eV/atom
DOS at the Fermi energy = 0.849 states/eV/atom
E above lowest polymorph = 3.91 kcal/mol of atoms
energy of formation = -0.356 eV/atom
V = 26.6 Å³/atom
space-group type = No. 44

a = 6.8906 Å, b = 6.8906 Å, c = 4.6438 Å
α = 70.30°, β = 70.30°, γ = 30.95°
Sites, in units of the cell vectors:
Ag  0.5601  0.5601  0.4398
La  0.9469  0.9469  0.0530
Ir  0.2531  0.2531  0.2470
La  0.7399  0.7399  0.7602


# 11
A relaxed structure of TiNi3Ru. Source: the Alexandria database, functional PBE.

Properties
spin magnetization = 0.293 μB per atom
raw total energy = -5.81 eV/atom
DOS at the Fermi energy = 1.222 states/eV/atom
E above lowest polymorph = 0.00 kcal/mol of atoms
energy of formation = 1.098 eV/atom
V = 15.0 Å³/atom
space-group type = No. 221

a = 4.2163 Å, b = 4.2163 Å, c = 4.2163 Å
α = 90.00°, β = 90.00°, γ = 90.00°
Last column: magnetic moment on the atom in μB.
Sites, in units of the cell vectors:
Ni  0.0000  0.0000  0.5000  -0.03
Ni  0.5000  0.0000  0.0000  0.14
Ru  0.5000  0.5000  0.5000  1.46
Ni  0.0000  0.5000  0.0000  0.01
Ti  0.0000  0.0000  0.0000  -0.08


# 12
A relaxed structure of Li2HgRu. Source: the Alexandria database, functional PBE.

Properties
spin magnetization = 0.000 μB per atom
raw total energy = -3.20 eV/atom
DOS at the Fermi energy = 0.703 states/eV/atom
energy of formation = 0.153 eV/atom
V = 15.8 Å³/atom
space-group type = No. 8

a = 4.9687 Å, b = 4.9687 Å, c = 4.9208 Å
α = 81.32°, β = 81.32°, γ = 31.71°
Sites, in units of the cell vectors:
Hg  0.2504  0.2504  0.2509
Ru  0.4997  0.4997  0.5070
Li  0.7538  0.7538  0.7397
Li  0.9962  0.9962  0.0023